Run a
Here is a relaxed structure of YCoOs2 from Alexandria. Energies are from PBE.

Structure (CIF):
```
data_YCoOs2
_symmetry_space_group_name_H-M 'I m m m'
_symmetry_Int_Tables_number 71
_symmetry_space_group_name_Hall '-I 2 2'
_cell_length_a 2.800
_cell_length_b 4.472
_cell_length_c 10.095
_cell_angle_alpha 90.00
_cell_angle_beta 90.00
_cell_angle_gamma 90.00
loop_
_atom_site_label
_atom_site_fract_x
_atom_site_fract_y
_atom_site_fract_z
Y1 0.000 0.000 0.000
Co1 0.000 0.000 0.500
Os1 0.000 0.500 0.215
```



Run b
Here is a relaxed structure of YCoOs2 from Alexandria. Energies are from PBE.

Structure (CIF):
```
data_YCoOs2
_symmetry_space_group_name_H-M 'P 4/m m m'
_symmetry_Int_Tables_number 123
_symmetry_space_group_name_Hall '-P 4 2'
_cell_length_a 3.838
_cell_length_b 3.838
_cell_length_c 4.358
_cell_angle_alpha 90.00
_cell_angle_beta 90.00
_cell_angle_gamma 90.00
loop_
_atom_site_label
_atom_site_fract_x
_atom_site_fract_y
_atom_site_fract_z
Y1 0.000 0.000 0.000
Co1 0.500 0.500 0.000
Os1 0.000 0.500 0.500
```



Run c
Here is a relaxed structure of YCoOs2 from Alexandria. Energies are from PBE.

Structure (CIF):
```
data_YCoOs2
_symmetry_space_group_name_H-M 'R -3 m'
_symmetry_Int_Tables_number 166
_symmetry_space_group_name_Hall '-R 3 2"'
_cell_length_a 2.7994
_cell_length_b 2.7994
_cell_length_c 28.0022
_cell_angle_alpha 90.00
_cell_angle_beta 90.00
_cell_angle_gamma 120.00
loop_
_atom_site_label
_atom_site_fract_x
_atom_site_fract_y
_atom_site_fract_z
Y1 0.0000 0.0000 0.0000
Co1 0.0000 0.0000 0.5000
Os1 0.0000 0.0000 0.2384
```



Run d
Here is a relaxed structure of YCoOs2 from Alexandria. Energies are from PBE.

Structure (CIF):
```
data_YCoOs2
_symmetry_space_group_name_H-M 'I 4/m m m'
_symmetry_Int_Tables_number 139
_symmetry_space_group_name_Hall '-I 4 2'
_cell_length_a 3.879
_cell_length_b 3.879
_cell_length_c 8.609
_cell_angle_alpha 90.00
_cell_angle_beta 90.00
_cell_angle_gamma 90.00
loop_
_atom_site_label
_atom_site_fract_x
_atom_site_fract_y
_atom_site_fract_z
Y1 0.000 0.000 0.000
Co1 0.000 0.000 0.500
Os1 0.000 0.500 0.250
```



Going by the computed energies, the most stable comes first: run a, run b, run d, run c.



Run a
Here is a relaxed structure of Y2Co2Os from Alexandria. Energies are from PBE.

Structure (CIF):
```
data_Y2Co2Os
_symmetry_space_group_name_H-M 'I 4/m m m'
_symmetry_Int_Tables_number 139
_symmetry_space_group_name_Hall '-I 4 2'
_cell_length_a 3.350
_cell_length_b 3.350
_cell_length_c 16.859
_cell_angle_alpha 90.00
_cell_angle_beta 90.00
_cell_angle_gamma 90.00
loop_
_atom_site_label
_atom_site_fract_x
_atom_site_fract_y
_atom_site_fract_z
Y1 0.000 0.000 0.102
Co1 0.000 0.500 0.250
Os1 0.000 0.000 0.500
```



Run b
Here is a relaxed structure of Y2Co2Os from Alexandria. Energies are from PBE.

Structure (CIF):
```
data_Y2Co2Os
_symmetry_space_group_name_H-M 'P 4/m b m'
_symmetry_Int_Tables_number 127
_symmetry_space_group_name_Hall '-P 4 2ab'
_cell_length_a 7.620
_cell_length_b 7.620
_cell_length_c 3.076
_cell_angle_alpha 90.00
_cell_angle_beta 90.00
_cell_angle_gamma 90.00
loop_
_atom_site_label
_atom_site_fract_x
_atom_site_fract_y
_atom_site_fract_z
Y1 0.156 0.344 0.000
Co1 0.149 0.649 0.500
Os1 0.000 0.000 0.000
```



Going by the computed energies, the most stable comes first: run a, run b.



Run a
Here is a relaxed structure of Y2Co2Os from Alexandria. Energies are from PBE.

Structure (CIF):
```
data_Y2Co2Os
_symmetry_space_group_name_H-M 'P 4/m b m'
_symmetry_Int_Tables_number 127
_symmetry_space_group_name_Hall '-P 4 2ab'
_cell_length_a 6.444
_cell_length_b 6.444
_cell_length_c 4.321
_cell_angle_alpha 90.00
_cell_angle_beta 90.00
_cell_angle_gamma 90.00
loop_
_atom_site_label
_atom_site_fract_x
_atom_site_fract_y
_atom_site_fract_z
Y1 0.184 0.316 0.000
Co1 0.127 0.627 0.500
Os1 0.000 0.000 0.500
```



Run b
Here is a relaxed structure of Y2Co2Os from Alexandria. Energies are from PBE.

Structure (CIF):
```
data_Y2Co2Os
_symmetry_space_group_name_H-M 'C 1 2/c 1'
_symmetry_Int_Tables_number 15
_cell_length_a 8.998
_cell_length_b 5.405
_cell_length_c 7.782
_cell_angle_alpha 90.00
_cell_angle_beta 102.59
_cell_angle_gamma 90.00
loop_
_symmetry_equiv_pos_as_xyz
'x,y,z'
'-x,-y,-z'
'-x,y,-z+1/2'
'x,-y,z+1/2'
'x+1/2,y+1/2,z'
'-x+1/2,-y+1/2,-z'
'-x+1/2,y+1/2,-z+1/2'
'x+1/2,-y+1/2,z+1/2'
loop_
_atom_site_label
_atom_site_fract_x
_atom_site_fract_y
_atom_site_fract_z
Y1 0.152 0.118 0.154
Co1 0.120 0.381 0.502
Os1 0.000 0.378 0.750
```



Going by the computed energies, the most stable comes first: run b, run a.



Run a
Here is a relaxed structure of YCo2Os2 from Alexandria. Energies are from PBE.

Structure (CIF):
```
data_YCo2Os2
_symmetry_space_group_name_H-M 'P 4/m b m'
_symmetry_Int_Tables_number 127
_symmetry_space_group_name_Hall '-P 4 2ab'
_cell_length_a 7.460
_cell_length_b 7.460
_cell_length_c 2.653
_cell_angle_alpha 90.00
_cell_angle_beta 90.00
_cell_angle_gamma 90.00
loop_
_atom_site_label
_atom_site_fract_x
_atom_site_fract_y
_atom_site_fract_z
Y1 0.000 0.000 0.000
Co1 0.117 0.383 0.000
Os1 0.176 0.676 0.500
```



Run b
Here is a relaxed structure of YCo2Os2 from Alexandria. Energies are from PBE.

Structure (CIF):
```
data_YCo2Os2
_symmetry_space_group_name_H-M 'I 4/m m m'
_symmetry_Int_Tables_number 139
_symmetry_space_group_name_Hall '-I 4 2'
_cell_length_a 4.071
_cell_length_b 4.071
_cell_length_c 10.064
_cell_angle_alpha 90.00
_cell_angle_beta 90.00
_cell_angle_gamma 90.00
loop_
_atom_site_label
_atom_site_fract_x
_atom_site_fract_y
_atom_site_fract_z
Y1 0.000 0.000 0.000
Co1 0.000 0.500 0.250
Os1 0.000 0.000 0.383
```



Going by the computed energies, the most stable comes first: run b, run a.



Run a
Here is a relaxed structure of YCo2Os from Alexandria. Energies are from PBE.

Structure (CIF):
```
data_YCo2Os
_symmetry_space_group_name_H-M 'A m m 2'
_symmetry_Int_Tables_number 38
_cell_length_a 4.097
_cell_length_b 2.887
_cell_length_c 10.216
_cell_angle_alpha 90.00
_cell_angle_beta 90.00
_cell_angle_gamma 90.00
loop_
_symmetry_equiv_pos_as_xyz
'x,y,z'
'-x,-y,z'
'-x,y,z'
'x,-y,z'
'x,y+1/2,z+1/2'
'-x,-y+1/2,z+1/2'
'-x,y+1/2,z+1/2'
'x,-y+1/2,z+1/2'
loop_
_atom_site_label
_atom_site_fract_x
_atom_site_fract_y
_atom_site_fract_z
Y1 0.000 0.000 0.000
Co1 0.000 0.000 0.742
Co2 0.500 0.000 0.607
Os1 0.500 0.000 0.306
```



Run b
Here is a relaxed structure of YCo2Os from Alexandria. Energies are from PBE.

Structure (CIF):
```
data_YCo2Os
_symmetry_space_group_name_H-M 'P 4/m m m'
_symmetry_Int_Tables_number 123
_symmetry_space_group_name_Hall '-P 4 2'
_cell_length_a 2.884
_cell_length_b 2.884
_cell_length_c 7.238
_cell_angle_alpha 90.00
_cell_angle_beta 90.00
_cell_angle_gamma 90.00
loop_
_atom_site_label
_atom_site_fract_x
_atom_site_fract_y
_atom_site_fract_z
Y1 0.000 0.000 0.000
Co1 0.500 0.500 0.292
Os1 0.000 0.000 0.500
```



Run c
Here is a relaxed structure of YCo2Os from Alexandria. Energies are from PBE.

Structure (CIF):
```
data_YCo2Os
_symmetry_space_group_name_H-M 'R -3 m'
_symmetry_Int_Tables_number 166
_symmetry_space_group_name_Hall '-R 3 2"'
_cell_length_a 4.1426
_cell_length_b 4.1426
_cell_length_c 14.1152
_cell_angle_alpha 90.00
_cell_angle_beta 90.00
_cell_angle_gamma 120.00
loop_
_atom_site_label
_atom_site_fract_x
_atom_site_fract_y
_atom_site_fract_z
Y1 0.0000 0.0000 0.0000
Co1 0.0000 0.0000 0.1941
Os1 0.0000 0.0000 0.5000
```



Run d
Here is a relaxed structure of YCo2Os from Alexandria. Energies are from PBE.

Structure (CIF):
```
data_YCo2Os
_symmetry_space_group_name_H-M 'P 4 m m'
_symmetry_Int_Tables_number 99
_cell_length_a 3.073
_cell_length_b 3.073
_cell_length_c 6.616
_cell_angle_alpha 90.00
_cell_angle_beta 90.00
_cell_angle_gamma 90.00
loop_
_symmetry_equiv_pos_as_xyz
'x,y,z'
'-y,x,z'
'-x,-y,z'
'y,-x,z'
'-x,y,z'
'y,x,z'
'x,-y,z'
'-y,-x,z'
loop_
_atom_site_label
_atom_site_fract_x
_atom_site_fract_y
_atom_site_fract_z
Y1 0.000 0.000 0.000
Co1 0.000 0.000 0.482
Co2 0.500 0.500 0.303
Os1 0.500 0.500 0.682
```



Going by the computed energies, the most stable comes first: run c, run a, run d, run b.



Run a
Here is a relaxed structure of Zn2Co2Os from Alexandria. Energies are from PBE.

Structure (CIF):
```
data_Zn2Co2Os
_symmetry_space_group_name_H-M 'P 4/m b m'
_symmetry_Int_Tables_number 127
_symmetry_space_group_name_Hall '-P 4 2ab'
_cell_length_a 6.827
_cell_length_b 6.827
_cell_length_c 2.681
_cell_angle_alpha 90.00
_cell_angle_beta 90.00
_cell_angle_gamma 90.00
loop_
_atom_site_label
_atom_site_fract_x
_atom_site_fract_y
_atom_site_fract_z
Zn1 0.126 0.374 0.000
Co1 0.175 0.675 0.500
Os1 0.000 0.000 0.000
```



Run b
Here is a relaxed structure of Zn2Co2Os from Alexandria. Energies are from PBE.

Structure (CIF):
```
data_Zn2Co2Os
_symmetry_space_group_name_H-M 'P 4/m b m'
_symmetry_Int_Tables_number 127
_symmetry_space_group_name_Hall '-P 4 2ab'
_cell_length_a 7.038
_cell_length_b 7.038
_cell_length_c 2.601
_cell_angle_alpha 90.00
_cell_angle_beta 90.00
_cell_angle_gamma 90.00
loop_
_atom_site_label
_atom_site_fract_x
_atom_site_fract_y
_atom_site_fract_z
Zn1 0.181 0.319 0.000
Co1 0.115 0.615 0.500
Os1 0.000 0.000 0.500
```



Going by the computed energies, the most stable comes first: run a, run b.



Run a
Here is a relaxed structure of ZrCo2Os from Alexandria. Energies are from PBE.

Structure (CIF):
```
data_ZrCo2Os
_symmetry_space_group_name_H-M 'P 4 m m'
_symmetry_Int_Tables_number 99
_cell_length_a 3.173
_cell_length_b 3.173
_cell_length_c 5.787
_cell_angle_alpha 90.00
_cell_angle_beta 90.00
_cell_angle_gamma 90.00
loop_
_symmetry_equiv_pos_as_xyz
'x,y,z'
'-y,x,z'
'-x,-y,z'
'y,-x,z'
'-x,y,z'
'y,x,z'
'x,-y,z'
'-y,-x,z'
loop_
_atom_site_label
_atom_site_fract_x
_atom_site_fract_y
_atom_site_fract_z
Zr1 0.000 0.000 0.000
Co1 0.000 0.000 0.479
Co2 0.500 0.500 0.276
Os1 0.500 0.500 0.709
```



Run b
Here is a relaxed structure of ZrCo2Os from Alexandria. Energies are from PBE.

Structure (CIF):
```
data_ZrCo2Os
_symmetry_space_group_name_H-M 'C 1 m 1'
_symmetry_Int_Tables_number 8
_cell_length_a 8.826
_cell_length_b 2.811
_cell_length_c 4.663
_cell_angle_alpha 90.00
_cell_angle_beta 101.82
_cell_angle_gamma 90.00
loop_
_symmetry_equiv_pos_as_xyz
'x,y,z'
'x,-y,z'
'x+1/2,y+1/2,z'
'x+1/2,-y+1/2,z'
loop_
_atom_site_label
_atom_site_fract_x
_atom_site_fract_y
_atom_site_fract_z
Zr1 0.000 0.000 0.000
Co1 0.004 0.500 0.498
Co2 0.243 0.000 0.761
Os1 0.265 0.500 0.336
```



Going by the computed energies, the most stable comes first: run b, run a.



Run a
Here is a relaxed structure of ZrCo2Os from Alexandria. Energies are from PBE.

Structure (CIF):
```
data_ZrCo2Os
_symmetry_space_group_name_H-M 'I -4 m 2'
_symmetry_Int_Tables_number 119
_symmetry_space_group_name_Hall 'I -4 -2'
_cell_length_a 3.802
_cell_length_b 3.802
_cell_length_c 7.994
_cell_angle_alpha 90.00
_cell_angle_beta 90.00
_cell_angle_gamma 90.00
loop_
_atom_site_label
_atom_site_fract_x
_atom_site_fract_y
_atom_site_fract_z
Zr1 0.000 0.000 0.000
Co1 0.000 0.000 0.500
Co2 0.000 0.500 0.750
Os1 0.000 0.500 0.250
```



Run b
Here is a relaxed structure of ZrCo2Os from Alexandria. Energies are from PBE.

Structure (CIF):
```
data_ZrCo2Os
_symmetry_space_group_name_H-M 'F m -3 m'
_symmetry_Int_Tables_number 225
_symmetry_space_group_name_Hall '-F 4 2 3'
_cell_length_a 6.130
_cell_length_b 6.130
_cell_length_c 6.130
_cell_angle_alpha 90.00
_cell_angle_beta 90.00
_cell_angle_gamma 90.00
loop_
_atom_site_label
_atom_site_fract_x
_atom_site_fract_y
_atom_site_fract_z
Zr1 0.000 0.000 0.000
Co1 0.250 0.250 0.250
Os1 0.000 0.000 0.500
```



Going by the computed energies, the most stable comes first: run b, run a.